[1]
16
Lattice="-3.883 0.507 -1.399 -0.560 -4.120 0.061 -5.528 0.983 15.698" Properties=species:S:1:pos:R:3 comment="NdPu3Pd12 PBE relaxed" vol_a3_per_cell=288.3 formation_energy_mev_per_atom=-610 pbc="T T T"
Nd 0.000 0.000 0.000
Pu -1.385 0.246 3.932
Pu -2.764 0.492 7.849
Pu -4.144 0.737 11.766
Pd -2.222 -1.807 -0.669
Pd -3.611 -1.560 3.276
Pd -4.986 -1.315 7.180
Pd -6.360 -1.071 11.083
Pd -2.653 0.380 1.320
Pd -4.015 0.622 5.190
Pd -5.396 0.868 9.109
Pd -6.759 1.110 12.979
Pd -0.991 -1.934 2.050
Pd -2.354 -1.691 5.920
Pd -3.734 -1.446 9.840
Pd -5.097 -1.204 13.709



[2]
8
Lattice="4.171 0.000 0.000 0.000 4.171 0.000 0.000 0.000 8.349" Properties=species:S:1:pos:R:3 comment="NdPuPd6 PBE relaxed" vol_a3_per_cell=145.2 formation_energy_mev_per_atom=-668 pbc="T T T"
Nd 0.000 0.000 0.000
Pu 0.000 0.000 4.175
Pd 2.085 2.085 0.000
Pd 2.085 2.085 4.175
Pd 2.085 0.000 2.149
Pd 2.085 0.000 6.201
Pd 0.000 2.085 2.149
Pd 0.000 2.085 6.201



[3]
12
Lattice="-1.342 -2.971 -2.616 1.706 -2.927 2.448 -10.732 -0.845 6.467" Properties=species:S:1:pos:R:3 comment="Nd2PuPd9 PBE relaxed" vol_a3_per_cell=219.4 formation_energy_mev_per_atom=-701 pbc="T T T"
Nd -3.569 -0.281 2.151
Nd -7.163 -0.564 4.316
Pu 0.000 0.000 0.000
Pd 0.182 -2.949 -0.084
Pd -3.377 -3.229 2.061
Pd -6.992 -3.514 4.239
Pd -2.393 -1.621 -0.271
Pd -6.037 -1.908 1.926
Pd -9.682 -2.195 4.122
Pd -0.869 -1.599 2.262
Pd -4.513 -1.886 4.458
Pd -8.158 -2.173 6.654



Copy entry 3 word for word.
12
Lattice="-1.342 -2.971 -2.616 1.706 -2.927 2.448 -10.732 -0.845 6.467" Properties=species:S:1:pos:R:3 comment="Nd2PuPd9 PBE relaxed" vol_a3_per_cell=219.4 formation_energy_mev_per_atom=-701 pbc="T T T"
Nd -3.569 -0.281 2.151
Nd -7.163 -0.564 4.316
Pu 0.000 0.000 0.000
Pd 0.182 -2.949 -0.084
Pd -3.377 -3.229 2.061
Pd -6.992 -3.514 4.239
Pd -2.393 -1.621 -0.271
Pd -6.037 -1.908 1.926
Pd -9.682 -2.195 4.122
Pd -0.869 -1.599 2.262
Pd -4.513 -1.886 4.458
Pd -8.158 -2.173 6.654